# 1
Computed, not measured: a relaxed Pa2Zn16Mo crystal at the PBE-GGA level of DFT.

```
data_Pa2Zn16Mo
_space_group_name_H-M_alt 'R 3 m'
_space_group_IT_number 160
_space_group_name_Hall 'R 3 -2"'
_cell_length_a 9.1250
_cell_length_b 9.1250
_cell_length_c 12.8406
_cell_angle_alpha 90.00
_cell_angle_beta 90.00
_cell_angle_gamma 120.00
loop_
_atom_site_label
_atom_site_type_symbol
_atom_site_fract_x
_atom_site_fract_y
_atom_site_fract_z
Pa1 Pa 0.0000 0.0000 0.0000
Pa2 Pa 0.0000 0.0000 0.3520
Zn1 Zn 0.0000 0.0000 0.7546
Zn2 Zn 0.0001 0.2889 0.6567
Zn3 Zn 0.0145 0.5073 0.8093
Zn4 Zn 0.1724 0.3447 0.4928
Zn5 Zn 0.1751 0.3502 0.8447
Mo1 Mo 0.0000 0.0000 0.5363
```

Summary:
As for the density of states at the Fermi level: 0.60 states/eV per atom. The formation energy comes out at -79 meV/atom. Its magnetic moment is 1.25 μB per cell.



# 2
Computed, not measured: a relaxed TbPm2Tm2Mg5 crystal at the PBE-GGA level of DFT.

```
data_TbPm2Tm2Mg5
_space_group_name_H-M_alt 'P 4/m b m'
_space_group_IT_number 127
_space_group_name_Hall '-P 4 2ab'
_cell_length_a 10.592
_cell_length_b 10.592
_cell_length_c 5.067
_cell_angle_alpha 90.00
_cell_angle_beta 90.00
_cell_angle_gamma 90.00
loop_
_atom_site_label
_atom_site_type_symbol
_atom_site_fract_x
_atom_site_fract_y
_atom_site_fract_z
Tb1 Tb 0.000 0.000 0.000
Pm1 Pm 0.177 0.323 0.000
Tm1 Tm 0.119 0.619 0.000
Mg1 Mg 0.000 0.500 0.500
Mg2 Mg 0.070 0.801 0.500
```

Summary:
As for the density of states at the Fermi level: 0.67 states/eV per atom. The formation energy comes out at 39 meV/atom. Its magnetic moment is 0.00 μB per cell.



# 3
Computed, not measured: a relaxed TlSbAu crystal at the PBE-GGA level of DFT.

```
data_TlSbAu
_space_group_name_H-M_alt 'I m m 2'
_space_group_IT_number 44
_cell_length_a 4.494
_cell_length_b 8.802
_cell_length_c 8.277
_cell_angle_alpha 90.00
_cell_angle_beta 90.00
_cell_angle_gamma 90.00
loop_
_space_group_symop_operation_xyz
'x,y,z'
'-x,-y,z'
'-x,y,z'
'x,-y,z'
'x+1/2,y+1/2,z+1/2'
'-x+1/2,-y+1/2,z+1/2'
'-x+1/2,y+1/2,z+1/2'
'x+1/2,-y+1/2,z+1/2'
loop_
_atom_site_label
_atom_site_type_symbol
_atom_site_fract_x
_atom_site_fract_y
_atom_site_fract_z
Tl1 Tl 0.000 0.000 0.000
Tl2 Tl 0.000 0.500 0.158
Sb1 Sb 0.000 0.169 0.387
Au1 Au 0.000 0.289 0.697
```

Summary:
As for the density of states at the Fermi level: 0.46 states/eV per atom. As for the raw formation energy: -0.081 eV/atom. For the offset from the most stable computed form, the calculation gives 20 meV/atom. Its magnetic moment is 0.00 μB per cell.



> Which formula does entry 3 have?

TlSbAu